--- w ---
VASP calculation (PBE) on a geometry-optimized S2N structure.

The structure in extended XYZ format:
```
6
Lattice="3.8513 -1.5870 0.0000 3.8513 1.5870 0.0000 -1.6235 0.0000 13.7973" Properties=species:S:1:pos:R:3 pbc="T T T"
S 0.2233 0.0000 2.8985
S -0.2892 0.0000 11.9930
S 6.3683 0.0000 1.8044
S 5.8558 0.0000 10.8989
N -0.4182 0.0000 7.2924
N 6.4974 0.0000 6.5049
```

The value obtained for the theoretical density is 1539 kg/m³.

=====

--- x ---
VASP calculation (PBE) on a geometry-optimized S2N structure.

The structure in extended XYZ format:
```
24
Lattice="11.8680 0.0000 0.0000 0.0000 11.8680 0.0000 0.0000 0.0000 4.2539" Properties=species:S:1:pos:R:3 pbc="T T T"
S 1.4055 1.4055 1.2895
S 1.7809 7.7744 0.0000
S 1.8404 4.1531 2.1269
S 2.1339 9.7341 3.6615
S 3.8001 3.8001 1.5346
S 4.0936 10.0871 0.0000
S 4.1531 1.8404 2.1269
S 4.5285 7.3395 3.4165
S 7.3395 4.5285 3.4165
S 7.7149 10.0276 2.1269
S 7.7744 1.7809 0.0000
S 8.0679 8.0679 1.5346
S 9.7341 2.1339 3.6615
S 10.0276 7.7149 2.1269
S 10.0871 4.0936 0.0000
S 10.4625 10.4625 1.2895
N 0.9499 2.9044 1.4988
N 2.9044 0.9499 1.4988
N 3.0296 6.8839 3.6258
N 4.9841 8.8384 3.6258
N 6.8839 3.0296 3.6258
N 8.8384 4.9841 3.6258
N 8.9636 10.9181 1.4988
N 10.9181 8.9636 1.4988
```

The value obtained for the theoretical density is 1732 kg/m³.

=====

Of them, w has the highest stability.

=====

--- w ---
VASP calculation (PBE) on a geometry-optimized SbS2N structure.

The structure in extended XYZ format:
```
4
Lattice="1.8098 1.0449 7.3357 -1.8098 1.0449 7.3357 0.0000 -2.0897 7.3357" Properties=species:S:1:pos:R:3 pbc="T T T"
Sb 0.0000 0.0000 0.0000
S 0.0000 0.0000 9.4435
S 0.0000 0.0000 12.5637
N 0.0000 0.0000 11.0036
```

The value obtained for the theoretical density is 3988 kg/m³.

=====

--- x ---
VASP calculation (PBE) on a geometry-optimized SbS2N structure.

The structure in extended XYZ format:
```
16
Lattice="5.8328 0.0000 0.0000 2.6899 7.2808 0.0000 2.8768 0.0521 9.6777" Properties=species:S:1:pos:R:3 pbc="T T T"
Sb 2.5822 2.2761 3.6276
Sb 6.9351 6.3738 8.6935
Sb 4.4644 0.9591 0.9842
Sb 8.8173 5.0568 6.0501
S 3.2443 1.7627 7.0146
S 2.1374 1.4965 0.9697
S 5.7695 6.8127 3.8381
S 6.5213 4.7388 6.8788
S 4.8782 2.5941 2.7989
S 5.6300 0.5202 5.8396
S 9.2621 5.8364 8.7081
S 8.1552 5.5702 2.6631
N 3.1804 2.7084 5.8019
N 4.4939 0.6930 7.0287
N 6.9056 6.6399 2.6490
N 8.2191 4.6246 3.8758
```

The value obtained for the theoretical density is 3231 kg/m³.

=====

Of them, x has the highest stability.